one.
PmTc2B6 PBE relaxed; SG = Immm (71); DOS at the Fermi energy = 3.47 states/eV per cell; spin magnetization = 0.00 μB/cell
1.0
-1.591 3.396 4.286
1.591 -3.396 4.286
1.591 3.396 -4.286
Pm Tc B
1 2 6
Cartesian
0.000 0.000 0.000
1.591 0.000 2.901
0.000 3.396 1.385
1.591 1.757 -1.643
1.591 2.397 0.000
1.591 1.757 1.643
0.000 1.639 2.644
0.000 0.999 4.286
0.000 1.639 5.929


two.
PmTc2B6 PBE relaxed; SG = C2/m (12); DOS at the Fermi energy = 3.87 states/eV per cell; spin magnetization = 0.00 μB/cell
1.0
4.385 -2.564 0.000
4.385 2.564 0.000
-1.531 0.000 4.395
Pm Tc B
1 2 6
Cartesian
0.000 0.000 0.000
2.844 0.000 0.366
4.394 0.000 4.029
0.772 0.915 2.736
3.619 0.872 2.197
0.772 -0.915 2.736
6.466 0.915 1.659
3.619 -0.872 2.197
6.466 -0.915 1.659


Which structure is most stable? one, by 0.429 eV/atom over the runner-up.